32
Lattice="-1.764 3.504 -0.565 -4.523 -3.117 -5.211 -10.744 -3.560 11.455" Properties=species:S:1:pos:R:3 comment="PaIn2O5 | Alexandria | PBE | relaxed" formation_energy_uncorrected_ev_per_atom=-2.15 pbc="T T T"
O -14.188 -2.544 7.655
In -7.501 -0.088 2.017
In -5.992 -2.027 -0.816
O -5.632 1.003 2.952
In -9.530 -3.085 3.661
Pa -13.151 -4.345 7.150
O -2.010 2.172 -1.107
O -15.021 -5.345 6.786
O -10.503 -0.547 8.537
O -2.843 -0.629 -1.977
O -9.134 -2.480 6.179
O -7.897 -0.693 -0.500
O -5.746 0.157 -1.944
O -9.636 -3.689 0.249
Pa -3.881 1.172 -1.472
O -11.399 -4.177 2.727
Pa -7.229 -1.574 5.854
Pa -9.802 -1.600 -0.175
O -6.528 -2.626 -2.858
In -11.039 -1.147 6.494
O -11.285 -3.330 7.623
O -12.784 -4.498 5.053
In -13.087 -2.634 3.660
O -4.247 1.325 0.625
O -5.765 -1.564 1.345
O -11.266 -1.609 4.334
In -6.516 -0.571 -4.049
In -3.945 -0.539 2.018
O -7.485 -2.039 3.768
In -10.515 -2.603 9.728
O -7.395 0.516 5.430
O -9.546 -1.134 1.910

---

4
Lattice="0.000 3.564 3.564 3.564 0.000 3.564 3.564 3.564 0.000" Properties=species:S:1:pos:R:3 comment="Y2AgP | Alexandria | PBE | relaxed" formation_enthalpy_0k_mev_per_atom=117.6 pbc="T T T"
Ag 3.564 3.564 3.564
Y 5.346 5.346 5.346
Y 0.000 0.000 0.000
P 1.782 1.782 1.782

---

5
Lattice="-0.536 -3.743 -2.070 2.844 0.803 -2.188 2.680 -1.920 2.779" Properties=species:S:1:pos:R:3 comment="Ta2CoTcC | Alexandria | PBE | relaxed" formation_enthalpy_0k_mev_per_atom=-150.4 pbc="T T T"
Tc 2.494 -2.430 -0.740
Ta 1.340 -0.960 1.389
Ta -0.268 -1.872 -1.035
C 0.000 0.000 0.000
Co 1.422 0.401 -1.094

---

11
Lattice="8.262 0.000 0.000 -4.131 7.270 0.045 0.000 -4.127 7.202" Properties=species:S:1:pos:R:3 comment="Cs2Ag2SnBr6 | Alexandria | PBE | relaxed" formation_energy_uncorrected_ev_per_atom=-0.99 pbc="T T T"
Sn 4.131 -2.064 3.601
Br 4.131 0.717 4.674
Br 0.000 2.425 2.573
Br 6.138 -2.600 5.759
Br -2.006 5.742 1.488
Br 2.006 5.742 1.488
Br 2.125 -2.600 5.759
Cs 4.131 2.567 1.480
Ag 4.131 3.100 5.760
Cs 0.000 0.576 5.767
Ag 0.000 0.042 1.487

---

32
Lattice="-1.032 -1.722 5.400 4.440 -5.520 -0.911 11.850 8.700 5.039" Properties=species:S:1:pos:R:3 comment="ThAl2Os | Alexandria | PBE | relaxed" formation_enthalpy_0k_mev_per_atom=-508.6 pbc="T T T"
Os 8.008 -1.178 4.167
Al 9.855 -1.746 5.973
Os 14.428 3.998 4.094
Al 3.941 -6.076 3.390
Al 1.714 -0.131 5.947
Os 10.638 0.427 7.258
Al 11.831 3.719 3.933
Os 7.251 2.637 5.361
Th 2.389 -0.858 2.845
Th 5.134 0.868 5.763
Th 10.124 0.590 3.765
Th 8.692 4.122 3.388
Al 13.003 5.438 5.792
Os 4.620 1.031 2.270
Al 3.427 -2.260 5.595
Th 12.869 2.316 6.684
Os 10.385 5.113 5.631
Al 5.553 -1.220 3.260
Th 6.566 -2.664 6.141
Os 0.830 -2.540 5.434
Al 7.992 4.808 6.620
Al 5.404 3.204 3.555
Al 8.168 0.351 6.319
Al 2.255 -3.980 3.736
Al 11.317 7.534 6.138
Al 7.266 -3.350 2.908
Os 4.873 -3.655 3.898
Al 9.705 2.679 6.268
Th 11.024 5.159 8.467
Al 7.090 1.108 3.209
Al 13.544 1.589 3.581
Th 4.234 -3.701 1.061

---

6
Lattice="-4.575 -1.497 5.397 -1.351 -3.183 -2.464 3.563 -4.876 1.011" Properties=species:S:1:pos:R:3 comment="NaCaV | Alexandria | PBE | relaxed" formation_enthalpy_0k_mev_per_atom=539.9 pbc="T T T"
Na -3.525 -2.840 3.653
Ca 0.850 -7.662 0.482
V 0.259 -2.490 1.145
Na -1.425 -5.086 5.424
Ca -1.481 -5.148 1.883
V 0.139 -4.444 -0.723

---

| no. | V (Å³/cell) | E_tot (eV per atom) |
| --- | --- | --- |
| 1 | 483 | -7.12 |
| 2 | 91 | -5.18 |
| 3 | 68 | -10.23 |
| 4 | 434 | -2.94 |
| 5 | 640 | -7.04 |
| 6 | 178 | -3.61 |